Record 1
# PBE PmPrTm4, optimized geometry
data_PmPrTm4
_chemical_formula_sum 'Pm1 Pr1 Tm4'
_cell_length_a 3.562
_cell_length_b 4.997
_cell_length_c 10.656
_cell_angle_alpha 90.00
_cell_angle_beta 90.47
_cell_angle_gamma 90.00
_space_group_name_H-M_alt 'P 1 2/m 1'
_space_group_IT_number 10
loop_
_space_group_symop_operation_xyz
'x,y,z'
'-x,-y,-z'
'-x,y,-z'
'x,-y,z'
loop_
_atom_site_label
_atom_site_fract_x
_atom_site_fract_y
_atom_site_fract_z
Pm1 0.000 0.000 0.000
Pr1 0.500 0.500 0.500
Tm1 0.000 0.000 0.330
Tm2 0.500 0.500 0.167
# polymorph energy (0 for the lowest one) = 0.00 eV per formula unit
# formation energy = 0.02 eV per atom
# total energy = -4.547 eV per atom
# V = 31.62 A^3/atom

=====

Record 2
# PBE MnVW3, optimized geometry
data_MnVW3
_chemical_formula_sum 'Mn1 V1 W3'
_cell_length_a 4.457
_cell_length_b 4.457
_cell_length_c 4.457
_cell_angle_alpha 90.00
_cell_angle_beta 90.00
_cell_angle_gamma 90.00
_space_group_name_H-M_alt 'P m -3 m'
_space_group_IT_number 221
_space_group_name_Hall '-P 4 2 3'
loop_
_atom_site_label
_atom_site_fract_x
_atom_site_fract_y
_atom_site_fract_z
Mn1 0.000 0.000 0.000
V1 0.500 0.500 0.500
W1 0.000 0.000 0.500
# polymorph energy (0 for the lowest one) = 0.00 eV per formula unit
# formation energy = 1.40 eV per atom
# total energy = -10.029 eV per atom
# V = 17.70 A^3/atom

=====

Record 3
# PBE Pm3Pr2Cd3, optimized geometry
data_Pm3Pr2Cd3
_chemical_formula_sum 'Pm3 Pr2 Cd3'
_cell_length_a 5.025
_cell_length_b 5.025
_cell_length_c 9.438
_cell_angle_alpha 90.00
_cell_angle_beta 90.00
_cell_angle_gamma 90.00
_space_group_name_H-M_alt 'P m m m'
_space_group_IT_number 47
loop_
_space_group_symop_operation_xyz
'x,y,z'
'-x,-y,-z'
'-x,-y,z'
'x,y,-z'
'x,-y,-z'
'-x,y,z'
'-x,y,-z'
'x,-y,z'
loop_
_atom_site_label
_atom_site_fract_x
_atom_site_fract_y
_atom_site_fract_z
Pm1 0.000 0.000 0.000
Pm2 0.500 0.000 0.269
Pr1 0.000 0.500 0.263
Cd1 0.000 0.000 0.500
Cd2 0.500 0.500 0.000
Cd3 0.500 0.500 0.500
# polymorph energy (0 for the lowest one) = 0.40 eV per formula unit
# formation energy = -0.18 eV per atom
# total energy = -3.500 eV per atom
# V = 29.79 A^3/atom

=====

What did the first record say?
# PBE PmPrTm4, optimized geometry
data_PmPrTm4
_chemical_formula_sum 'Pm1 Pr1 Tm4'
_cell_length_a 3.562
_cell_length_b 4.997
_cell_length_c 10.656
_cell_angle_alpha 90.00
_cell_angle_beta 90.47
_cell_angle_gamma 90.00
_space_group_name_H-M_alt 'P 1 2/m 1'
_space_group_IT_number 10
loop_
_space_group_symop_operation_xyz
'x,y,z'
'-x,-y,-z'
'-x,y,-z'
'x,-y,z'
loop_
_atom_site_label
_atom_site_fract_x
_atom_site_fract_y
_atom_site_fract_z
Pm1 0.000 0.000 0.000
Pr1 0.500 0.500 0.500
Tm1 0.000 0.000 0.330
Tm2 0.500 0.500 0.167
# polymorph energy (0 for the lowest one) = 0.00 eV per formula unit
# formation energy = 0.02 eV per atom
# total energy = -4.547 eV per atom
# V = 31.62 A^3/atom